Run one
DFT (PBE) results for FeCu3N after structural relaxation.

POSCAR file:
```
FeCu3N
1.0
-3.9711 -1.8307 -0.6959
0.2994 -2.1222 3.8745
-1.9355 3.4279 2.0270
Cu N Fe
3 1 1
direct
0.0000 0.0000 0.5000
0.0000 0.5000 0.0000
0.5000 0.0000 0.0000
0.5000 0.5000 0.5000
0.0000 0.0000 0.0000
```

Computed properties:
The value obtained for the volume is 87 Å³ per cell. Its space-group type is No. 221. The total magnetization comes out at 4.56 μB per formula unit.

Run two
DFT (PBE) results for FeCu3N after structural relaxation.

POSCAR file:
```
FeCu3N
1.0
3.8597 0.0000 0.0000
0.0000 3.8597 0.0000
0.0000 0.0000 3.8597
Cu N Fe
3 1 1
direct
0.0000 0.5000 0.0000
0.5000 0.0000 0.0000
0.0000 0.0000 0.5000
0.0000 0.0000 0.0000
0.5000 0.5000 0.5000
```

Computed properties:
The value obtained for the volume is 58 Å³ per cell. Its space-group type is No. 221. The total magnetization comes out at 2.58 μB per formula unit.

Tell me which of them is the most stable. Sure, it is run two.

Run one
DFT (PBE) results for Fe2CuNiN after structural relaxation.

POSCAR file:
```
Fe2CuNiN
1.0
-1.5499 3.3803 0.5872
-3.2442 -1.6536 0.9563
1.1404 -0.1147 3.6704
Cu Fe N Ni
1 2 1 1
direct
0.0000 0.0000 0.5000
0.5000 0.0000 0.0000
0.0000 0.5000 0.0000
0.0000 0.0000 0.0000
0.5000 0.5000 0.5000
```

Computed properties:
The value obtained for the volume is 55 Å³ per cell. Its space-group type is No. 123. The total magnetization comes out at 5.50 μB per formula unit.

Run two
DFT (PBE) results for Fe2CuNiN after structural relaxation.

POSCAR file:
```
Fe2CuNiN
1.0
-0.9983 -3.3107 -1.4892
2.9224 -1.6492 1.7073
-2.1657 -0.7071 3.0239
Fe N Ni Cu
2 1 1 1
direct
0.5000 0.0000 0.0000
0.0000 0.5000 0.0000
0.0000 0.0000 0.0000
0.0000 0.0000 0.5000
0.5000 0.5000 0.5000
```

Computed properties:
The value obtained for the volume is 54 Å³ per cell. Its space-group type is No. 123. The total magnetization comes out at 5.03 μB per formula unit.

Tell me which of them is the most stable. Sure, it is run two.

Run one
DFT (PBE) results for Fe2CuRhN after structural relaxation.

POSCAR file:
```
Fe2CuRhN
1.0
-0.8188 -3.7022 0.6245
3.7444 -0.8521 -0.1420
0.2793 0.5868 3.8451
Cu Fe N Rh
1 2 1 1
direct
0.0000 0.0000 0.5000
0.5000 0.0000 0.0000
0.0000 0.5000 0.0000
0.0000 0.0000 0.0000
0.5000 0.5000 0.5000
```

Computed properties:
The value obtained for the volume is 58 Å³ per cell. Its space-group type is No. 123. The total magnetization comes out at 6.39 μB per formula unit.

Run two
DFT (PBE) results for Fe2CuRhN after structural relaxation.

POSCAR file:
```
Fe2CuRhN
1.0
3.7816 0.0000 0.0000
0.0000 3.7816 0.0000
0.0000 0.0000 4.0531
N Fe Rh Cu
1 2 1 1
direct
0.0000 0.0000 0.0000
0.5000 0.0000 0.0000
0.0000 0.5000 0.0000
0.0000 0.0000 0.5000
0.5000 0.5000 0.5000
```

Computed properties:
The value obtained for the volume is 58 Å³ per cell. Its space-group type is No. 123. The total magnetization comes out at 4.75 μB per formula unit.

Tell me which of them is the most stable. Sure, it is run two.

Run one
DFT (PBE) results for FeCuSeN2 after structural relaxation.

POSCAR file:
```
FeCuSeN2
1.0
-3.3601 -1.2644 0.5979
1.3197 -2.3511 2.4447
-0.7526 4.0202 4.2726
N Se Fe Cu
2 1 1 1
direct
0.0000 0.5000 0.0000
0.5000 0.0000 0.0000
0.0000 0.0000 0.5000
0.5000 0.5000 0.5000
0.0000 0.0000 0.0000
```

Computed properties:
The value obtained for the volume is 78 Å³ per cell. Its space-group type is No. 123. The total magnetization comes out at 6.25 μB per formula unit.

Run two
DFT (PBE) results for FeCuSeN2 after structural relaxation.

POSCAR file:
```
FeCuSeN2
1.0
3.5298 0.0000 0.0000
0.0000 3.5298 0.0000
0.0000 0.0000 5.3902
Fe Se N Cu
1 1 2 1
direct
0.0000 0.0000 0.0000
0.0000 0.0000 0.5000
0.5000 0.0000 0.0000
0.0000 0.5000 0.0000
0.5000 0.5000 0.5000
```

Computed properties:
The value obtained for the volume is 67 Å³ per cell. Its space-group type is No. 123. The total magnetization comes out at 0.00 μB per formula unit.

Tell me which of them is the most stable. Sure, it is run two.

Run one
DFT (PBE) results for FeCuTeN2 after structural relaxation.

POSCAR file:
```
FeCuTeN2
1.0
-0.6501 -3.0711 1.7819
3.4932 -0.8776 -0.2380
0.9846 2.6042 4.8476
N Cu Te Fe
2 1 1 1
direct
0.0000 0.5000 0.0000
0.5000 0.0000 0.0000
0.5000 0.5000 0.5000
0.0000 0.0000 0.5000
0.0000 0.0000 0.0000
```

Computed properties:
The value obtained for the volume is 73 Å³ per cell. Its space-group type is No. 123. The total magnetization comes out at 0.00 μB per formula unit.

Run two
DFT (PBE) results for FeCuTeN2 after structural relaxation.

POSCAR file:
```
FeCuTeN2
1.0
3.7539 0.0000 0.0000
0.0000 3.7539 0.0000
0.0000 0.0000 5.8877
Fe N Te Cu
1 2 1 1
direct
0.5000 0.5000 0.5000
0.0000 0.5000 0.0000
0.5000 0.0000 0.0000
0.0000 0.0000 0.5000
0.0000 0.0000 0.0000
```

Computed properties:
The value obtained for the volume is 83 Å³ per cell. Its space-group type is No. 123. The total magnetization comes out at 5.98 μB per formula unit.

Tell me which of them is the most stable. Sure, it is run one.

Run one
DFT (PBE) results for NaFe2Cu after structural relaxation.

POSCAR file:
```
NaFe2Cu
1.0
1.0227 -3.7810 1.7915
2.1676 -0.1041 3.7206
-1.9750 -1.2779 3.6080
Cu Na Fe
1 1 2
direct
0.5000 0.5000 0.5000
0.0000 0.0000 0.0000
0.7500 0.7500 0.7500
0.2500 0.2500 0.2500
```

Computed properties:
The value obtained for the volume is 57 Å³ per cell. Its space-group type is No. 225. The total magnetization comes out at 5.36 μB per formula unit.

Run two
DFT (PBE) results for NaFe2Cu after structural relaxation.

POSCAR file:
```
NaFe2Cu
1.0
-1.6112 1.5525 2.8536
-2.7364 -2.3653 -0.2583
2.3725 -6.2963 7.0690
Na Fe Cu
2 4 2
direct
0.2500 0.7500 0.5000
0.5000 0.5000 0.0000
0.3750 0.9103 0.7500
0.6603 0.6250 0.2500
0.0897 0.1250 0.2500
0.8750 0.3397 0.7500
0.0000 0.0000 0.0000
0.7500 0.2500 0.5000
```

Computed properties:
The value obtained for the volume is 124 Å³ per cell. Its space-group type is No. 122. The total magnetization comes out at 5.68 μB per formula unit.

Tell me which of them is the most stable. Sure, it is run one.

Run one
DFT (PBE) results for Na3FeCu after structural relaxation.

POSCAR file:
```
Na3FeCu
1.0
5.3250 0.0000 0.0000
0.0000 5.3250 0.0000
0.0000 0.0000 5.3250
Fe Na Cu
1 3 1
direct
0.5000 0.5000 0.5000
0.0000 0.5000 0.0000
0.0000 0.0000 0.5000
0.5000 0.0000 0.0000
0.0000 0.0000 0.0000
```

Computed properties:
The value obtained for the volume is 151 Å³ per cell. Its space-group type is No. 221. The total magnetization comes out at 3.00 μB per formula unit.

Run two
DFT (PBE) results for Na3FeCu after structural relaxation.

POSCAR file:
```
Na3FeCu
1.0
5.3863 0.0000 0.0000
0.0000 5.3863 0.0000
0.0000 0.0000 5.3863
Fe Na Cu
1 3 1
direct
0.0000 0.0000 0.0000
0.5000 0.0000 0.0000
0.0000 0.0000 0.5000
0.0000 0.5000 0.0000
0.5000 0.5000 0.5000
```

Computed properties:
The value obtained for the volume is 156 Å³ per cell. Its space-group type is No. 221. The total magnetization comes out at 0.08 μB per formula unit.

Tell me which of them is the most stable. Sure, it is run one.

Run one
DFT (PBE) results for Nb2FeCu after structural relaxation.

POSCAR file:
```
Nb2FeCu
1.0
2.7536 0.0000 0.0000
1.3768 2.3847 0.0000
1.3768 0.7949 9.6807
Nb Cu Fe
2 1 1
direct
0.9074 0.9074 0.2779
0.0926 0.0926 0.7221
0.0000 0.0000 0.0000
0.5000 0.5000 0.5000
```

Computed properties:
The value obtained for the volume is 64 Å³ per cell. Its space-group type is No. 166. The total magnetization comes out at 0.26 μB per formula unit.

Run two
DFT (PBE) results for Nb2FeCu after structural relaxation.

POSCAR file:
```
Nb2FeCu
1.0
6.8973 0.0000 0.0000
0.0000 6.8973 0.0000
3.4487 3.4487 2.6639
Nb Fe Cu
4 2 2
direct
0.5937 0.1250 0.2500
0.1563 0.6250 0.2500
0.8750 0.8437 0.7500
0.3750 0.4063 0.7500
0.2500 0.7500 0.5000
0.5000 0.5000 0.0000
0.0000 0.0000 0.0000
0.7500 0.2500 0.5000
```

Computed properties:
The value obtained for the volume is 127 Å³ per cell. Its space-group type is No. 122. The total magnetization comes out at 0.00 μB per formula unit.

Run three
DFT (PBE) results for Nb2FeCu after structural relaxation.

POSCAR file:
```
Nb2FeCu
1.0
0.0000 3.0999 3.0999
3.0999 0.0000 3.0999
3.0999 3.0999 0.0000
Cu Nb Fe
1 2 1
direct
0.5000 0.5000 0.5000
0.7500 0.7500 0.7500
0.2500 0.2500 0.2500
0.0000 0.0000 0.0000
```

Computed properties:
The value obtained for the volume is 60 Å³ per cell. Its space-group type is No. 225. The total magnetization comes out at 0.00 μB per formula unit.

Tell me which of them is the most stable. Sure, it is run three.

Run one
DFT (PBE) results for NbFeCu after structural relaxation.

POSCAR file:
```
NbFeCu
1.0
4.0891 0.0000 0.0000
2.0446 3.5413 0.0000
2.0446 1.1804 6.3508
Cu Fe Nb
2 2 2
direct
0.1617 0.1617 0.5150
0.8383 0.8383 0.4850
0.7016 0.7016 0.8951
0.2984 0.2984 0.1049
0.5783 0.5783 0.2650
0.4217 0.4217 0.7350
```

Computed properties:
The value obtained for the volume is 92 Å³ per cell. Its space-group type is No. 166. The total magnetization comes out at 0.92 μB per formula unit.

Run two
DFT (PBE) results for NbFeCu after structural relaxation.

POSCAR file:
```
NbFeCu
1.0
3.1876 0.0080 0.0002
-0.0069 3.1885 -0.0046
-1.5910 -1.5932 4.0927
Cu Nb Fe
1 1 1
direct
0.6627 0.5252 0.3927
0.3419 0.2045 0.7513
0.9960 0.8587 0.0592
```

Computed properties:
The value obtained for the volume is 42 Å³ per cell. Its space-group type is No. 107. The total magnetization comes out at 0.66 μB per formula unit.

Tell me which of them is the most stable. Sure, it is run two.

Run one
DFT (PBE) results for Fe2CuNi after structural relaxation.

POSCAR file:
```
Fe2CuNi
1.0
-3.6480 -1.7773 0.0394
-2.8154 1.0856 -2.7136
-1.0439 -2.5562 -2.9740
Fe Ni Cu
2 1 1
direct
0.7500 0.7500 0.7500
0.2500 0.2500 0.2500
0.0000 0.0000 0.0000
0.5000 0.5000 0.5000
```

Computed properties:
The value obtained for the volume is 47 Å³ per cell. Its space-group type is No. 225. The total magnetization comes out at 6.09 μB per formula unit.

Run two
DFT (PBE) results for Fe2CuNi after structural relaxation.

POSCAR file:
```
Fe2CuNi
1.0
6.5078 0.0000 0.0000
0.0000 6.5078 0.0000
3.2539 3.2539 2.4280
Fe Ni Cu
4 2 2
direct
0.3750 0.3903 0.7500
0.8750 0.8597 0.7500
0.1403 0.6250 0.2500
0.6097 0.1250 0.2500
0.5000 0.5000 0.0000
0.2500 0.7500 0.5000
0.0000 0.0000 0.0000
0.7500 0.2500 0.5000
```

Computed properties:
The value obtained for the volume is 103 Å³ per cell. Its space-group type is No. 122. The total magnetization comes out at 6.44 μB per formula unit.

Tell me which of them is the most stable. Sure, it is run one.

Run one
DFT (PBE) results for Fe2CuNi after structural relaxation.

POSCAR file:
```
Fe2CuNi
1.0
8.5248 0.0003 0.0002
8.1515 2.4949 0.0002
8.1515 1.2197 2.1764
Ni Fe Cu
1 2 1
direct
0.2500 0.2500 0.2500
0.9981 0.9981 0.9981
0.5019 0.5019 0.5019
0.7500 0.7500 0.7500
```

Computed properties:
The value obtained for the volume is 46 Å³ per cell. Its space-group type is No. 166. The total magnetization comes out at 5.68 μB per formula unit.

Run two
DFT (PBE) results for Fe2CuNi after structural relaxation.

POSCAR file:
```
Fe2CuNi
1.0
4.4408 -0.0025 0.0126
3.7121 2.4375 0.0126
0.7426 0.2218 4.2808
Fe Ni Cu
2 1 1
direct
0.5022 0.5022 0.4962
0.9978 0.9978 0.0038
0.2500 0.2500 0.2500
0.7500 0.7500 0.7500
```

Computed properties:
The value obtained for the volume is 46 Å³ per cell. Its space-group type is No. 12. The total magnetization comes out at 5.73 μB per formula unit.

Run three
DFT (PBE) results for Fe2CuNi after structural relaxation.

POSCAR file:
```
Fe2CuNi
1.0
-1.7328 -1.1781 1.4141
1.5229 0.2104 2.0067
-3.0339 6.4188 1.6297
Fe Ni Cu
2 1 1
direct
0.0000 0.0000 0.4931
0.0000 0.0000 0.0069
0.5000 0.5000 0.2500
0.5000 0.5000 0.7500
```

Computed properties:
The value obtained for the volume is 47 Å³ per cell. Its space-group type is No. 65. The total magnetization comes out at 6.05 μB per formula unit.

Tell me which of them is the most stable. Sure, it is run three.

Run one
DFT (PBE) results for Fe2CuNi after structural relaxation.

POSCAR file:
```
Fe2CuNi
1.0
-0.9105 0.0145 -2.3572
0.1775 -2.0719 -1.4358
-7.7145 -3.3143 1.6050
Fe Ni Cu
2 1 1
direct
0.2518 0.2518 0.2445
0.0815 0.0815 0.7556
0.6665 0.6665 0.0004
0.5002 0.5002 0.4994
```

Computed properties:
The value obtained for the volume is 47 Å³ per cell. Its space-group type is No. 160. The total magnetization comes out at 5.93 μB per formula unit.

Run two
DFT (PBE) results for Fe2CuNi after structural relaxation.

POSCAR file:
```
Fe2CuNi
1.0
8.5370 0.0194 0.0114
8.1578 2.5162 0.0114
8.1578 1.2390 2.1901
Ni Cu Fe
1 1 2
direct
0.5010 0.5010 0.5010
0.7513 0.7513 0.7513
0.0000 0.0000 0.0000
0.2477 0.2477 0.2477
```

Computed properties:
The value obtained for the volume is 46 Å³ per cell. Its space-group type is No. 160. The total magnetization comes out at 5.66 μB per formula unit.

Tell me which of them is the most stable. Sure, it is run two.

Run one
DFT (PBE) results for FeCuNi after structural relaxation.

POSCAR file:
```
FeCuNi
1.0
-1.9824 -0.3328 -3.9684
-4.1297 -1.5662 -0.5302
2.2841 2.9100 2.4705
Cu Ni Fe
1 1 1
direct
0.0010 0.0010 0.0000
0.6707 0.6707 0.0000
0.3283 0.3283 0.0000
```

Computed properties:
The value obtained for the volume is 35 Å³ per cell. Its space-group type is No. 107. The total magnetization comes out at 3.49 μB per formula unit.

Run two
DFT (PBE) results for FeCuNi after structural relaxation.

POSCAR file:
```
FeCuNi
1.0
-1.0493 4.1844 -0.8591
0.5180 -1.4145 -7.5224
-3.6512 -2.3264 0.1860
Cu Fe Ni
4 4 4
direct
0.5000 0.1468 0.5000
0.5000 0.3127 0.0000
0.5000 0.6468 0.0000
0.5000 0.8127 0.5000
0.0000 0.8211 0.0000
0.0000 0.4822 0.0000
0.0000 0.9822 0.5000
0.0000 0.3211 0.5000
0.5000 0.4784 0.5000
0.0000 0.6500 0.5000
0.5000 0.9784 0.0000
0.0000 0.1500 0.0000
```

Computed properties:
The value obtained for the volume is 139 Å³ per cell. Its space-group type is No. 5. The total magnetization comes out at 3.21 μB per formula unit.

Tell me which of them is the most stable. Sure, it is run one.